# 1
This record from the Alexandria database describes Na2TcNi after structural relaxation. The functional is PBE-GGA.

Lattice parameters (Å, degrees): 9.8125 9.8125 4.5222 90.00 90.00 90.00
With the nearest neighbours (Å) after each atom.
Space group I-42d (No. 122)
Asymmetric unit:
Na1 0.1208 0.2500 0.1250 x8  2 Ni 2.78
Tc1 0.0000 0.0000 0.5000 x4  2 Ni 2.26
Ni1 0.0000 0.0000 0.0000 x4  2 Tc 2.26

Computed properties:
For the distance to the lowest polymorph of the same formula, the calculation gives 0 meV per atom. As for the formation energy: 1156 meV per atom.

***

# 2
This record from the Alexandria database describes NaTcNi2 after structural relaxation. The functional is PBE-GGA.

Lattice parameters (Å, degrees): 6.0455 6.0455 6.0455 90.00 90.00 90.00
With the nearest neighbours (Å) after each atom.
Space group Fm-3m (No. 225)
Asymmetric unit:
Na1 0.0000 0.0000 0.0000 x4  8 Ni 2.62
Tc1 0.0000 0.0000 0.5000 x4  8 Ni 2.62
Ni1 0.2500 0.2500 0.2500 x8  4 Tc 2.62, 4 Na 2.62

Computed properties:
For the distance to the lowest polymorph of the same formula, the calculation gives 0 meV per atom. As for the formation energy: 665 meV per atom.

***

# 3
This record from the Alexandria database describes NaTcNi2 after structural relaxation. The functional is PBE-GGA.

Lattice parameters (Å, degrees): 6.8446 6.8446 5.4719 90.00 90.00 90.00
With the nearest neighbours (Å) after each atom.
Space group I-42d (No. 122)
Asymmetric unit:
Na1 0.0000 0.0000 0.0000 x4  4 Ni 2.68, 2 Tc 2.74
Tc1 0.0000 0.0000 0.5000 x4  4 Ni 2.36
Ni1 0.2155 0.2500 0.6250 x8  2 Tc 2.36

Computed properties:
For the distance to the lowest polymorph of the same formula, the calculation gives 253 meV per atom. As for the formation energy: 917 meV per atom.